{"formula": "PrPuPbAu", "functional": "PBE", "state": "optimized geometry", "lattice_angstrom": [[-0.047, 4.926, -2.217], [-1.449, 0.623, -5.167], [-4.700, 2.367, -1.221]], "species": ["Au", "Pu", "Pr", "Pb"], "fractional_positions": [[0.250, 0.250, 0.250], [0.000, 0.000, 0.000], [0.500, 0.500, 0.500], [0.750, 0.750, 0.750]], "magnetic_moment_mub_per_cell": 6.22, "spacegroup": "No. 216", "dos_at_fermi_per_ev_fu": 11.610, "formation_enthalpy_0k_ev_per_atom": -0.4040}